No. 1
The following is a DFT calculation (PBE-GGA) of a geometry-optimized TbHo12Tm6 structure.

Structure (extended XYZ):
```
19
Lattice="5.8635 3.3853 5.0152 -5.8635 3.3853 5.0152 0.0000 -6.7706 5.0152" Properties=species:S:1:pos:R:3 pbc="T T T"
Tb 0.0000 0.0000 0.0000
Ho -2.0371 -0.1570 2.8773
Ho 1.1545 -1.6857 2.8773
Ho -1.9928 -0.4200 6.2532
Ho 0.8826 1.8427 2.8773
Ho -0.6327 -1.9358 8.7923
Ho 1.3602 -1.5158 6.2532
Ho -1.3601 1.5158 8.7923
Ho 0.6327 1.9358 6.2532
Ho -0.8826 -1.8427 12.1682
Ho 1.9928 0.4200 8.7923
Ho -1.1545 1.6857 12.1682
Ho 2.0371 0.1570 12.1682
Tm -0.9558 -3.4906 5.2153
Tm -2.5451 2.5730 5.2153
Tm -3.5009 -0.9176 9.8303
Tm 3.5009 0.9176 5.2153
Tm 2.5451 -2.5731 9.8303
Tm 0.9558 3.4906 9.8303
```

Computed properties:
Uncorrected energy = -4.387 eV/atom
Formation enthalpy at 0 K = 0.16 eV/atom
Crystal system = trigonal
Spin magnetization = 0.00 μB/f.u.
Relative energy among the computed polymorphs = 0.000 eV/atom
DOS(E_F) = 33.38 states/eV/f.u.

No. 2
The following is a DFT calculation (PBE-GGA) of a geometry-optimized TaMnCu structure.

Structure (extended XYZ):
```
3
Lattice="-1.5826 1.5826 4.1709 1.5826 -1.5826 4.1709 1.5826 1.5826 -4.1709" Properties=species:S:1:pos:R:3 pbc="T T T"
Ta 0.0000 0.0000 0.0000
Mn 0.0000 0.0000 2.8688
Cu 0.0000 0.0000 5.6670
```

Computed properties:
Uncorrected energy = -8.261 eV/atom
Formation enthalpy at 0 K = 0.11 eV/atom
Crystal system = tetragonal
Spin magnetization = 0.98 μB/f.u.
Relative energy among the computed polymorphs = 0.000 eV/atom
DOS(E_F) = 2.15 states/eV/f.u.

No. 3
The following is a DFT calculation (PBE-GGA) of a geometry-optimized SiCO3 structure.

Structure (extended XYZ):
```
5
Lattice="3.4575 0.0000 0.0000 0.0000 3.4575 0.0000 0.0000 0.0000 3.4575" Properties=species:S:1:pos:R:3 pbc="T T T"
Si 0.0000 0.0000 0.0000
C 1.7288 1.7288 1.7288
O 0.0000 0.0000 1.7288
O 0.0000 1.7288 0.0000
O 1.7288 0.0000 0.0000
```

Computed properties:
Formation energy without anion corrections = -0.0782 eV/atom
Uncorrected energy = -5.983 eV/atom
Crystal system = cubic
Spin magnetization = 0.00 μB/f.u.
DOS(E_F) = 0.66 states/eV/f.u.

No. 4
The following is a DFT calculation (PBE-GGA) of a geometry-optimized Sr3Bi2H3 structure.

Structure (extended XYZ):
```
8
Lattice="8.3131 0.0000 0.0000 -4.1565 7.1993 0.0000 0.0000 0.0000 3.4198" Properties=species:S:1:pos:R:3 pbc="T T T"
Sr -1.0830 1.8759 0.0000
Sr 2.1661 0.0000 0.0000
Sr 3.0735 5.3235 0.0000
Bi 0.0000 4.7996 1.7099
Bi 4.1565 2.3998 1.7099
H -3.4109 5.9078 1.7099
H 0.7457 1.2915 1.7099
H 6.8217 0.0000 1.7099
```

Computed properties:
Uncorrected energy = -3.204 eV/atom
Crystal system = hexagonal
Spin magnetization = 0.00 μB/f.u.
DOS(E_F) = 4.04 states/eV/f.u.

No. 5
The following is a DFT calculation (PBE-GGA) of a geometry-optimized InSnHg2I4 structure.

Structure (extended XYZ):
```
8
Lattice="7.8313 0.0000 0.0000 0.0000 4.3950 0.0000 -2.5010 0.0000 10.3059" Properties=species:S:1:pos:R:3 pbc="T T T"
In 0.0000 0.0000 0.0000
Sn 3.9156 2.1975 0.0000
Hg -1.2505 2.1975 5.1529
Hg 2.6651 0.0000 5.1529
I 1.3130 2.1975 1.8769
I 0.0737 0.0000 8.4122
I 5.2566 0.0000 1.8937
I 4.0173 2.1975 8.4290
```

Computed properties:
Formation energy without anion corrections = -0.3002 eV/atom
Uncorrected energy = -1.993 eV/atom
Crystal system = monoclinic
Spin magnetization = 0.00 μB/f.u.
DOS(E_F) = 4.50 states/eV/f.u.

No. 6
The following is a DFT calculation (PBE-GGA) of a geometry-optimized Li5PmCd4 structure.

Structure (extended XYZ):
```
10
Lattice="3.4202 0.0000 0.0000 0.0000 3.4202 0.0000 0.0000 0.0000 17.1272" Properties=species:S:1:pos:R:3 pbc="T T T"
Li 0.0000 0.0000 0.0000
Li 0.0000 0.0000 3.1751
Li 0.0000 0.0000 6.2346
Li 0.0000 0.0000 10.8926
Li 0.0000 0.0000 13.9521
Pm 1.7101 1.7101 8.5636
Cd 1.7101 1.7101 1.6141
Cd 1.7101 1.7101 4.8152
Cd 1.7101 1.7101 12.3121
Cd 1.7101 1.7101 15.5132
```

Computed properties:
Uncorrected energy = -1.970 eV/atom
Formation enthalpy at 0 K = -0.17 eV/atom
Crystal system = tetragonal
Spin magnetization = 0.00 μB/f.u.
DOS(E_F) = 5.22 states/eV/f.u.

No. 7
The following is a DFT calculation (PBE-GGA) of a geometry-optimized Cs6Br3Cl2O structure.

Structure (extended XYZ):
```
12
Lattice="4.3682 -7.5739 0.0000 4.3682 7.5739 0.0000 -2.9377 0.0000 8.1474" Properties=species:S:1:pos:R:3 pbc="T T T"
Cs 1.3814 2.4142 1.8584
Cs -0.1621 0.0000 6.2913
Cs 1.3814 -2.4142 1.8584
Cs 4.4172 2.4142 6.2890
Cs 5.9607 0.0000 1.8562
Cs 4.4172 -2.4142 6.2890
Br 2.8993 4.9979 4.0737
Br 2.8993 0.0000 4.0737
Br 2.8993 -4.9979 4.0737
Cl 4.3682 2.5133 0.0000
Cl 4.3682 -2.5133 0.0000
O 0.0000 0.0000 0.0000
```

Computed properties:
Formation energy without anion corrections = -1.6301 eV/atom
Uncorrected energy = -3.196 eV/atom
Crystal system = monoclinic
Spin magnetization = 1.00 μB/f.u.

No. 8
The following is a DFT calculation (PBE-GGA) of a geometry-optimized Sr2CaLa structure.

Structure (extended XYZ):
```
4
Lattice="2.1928 -3.2068 0.0000 2.1928 3.2068 0.0000 0.0000 0.0000 13.0476" Properties=species:S:1:pos:R:3 pbc="T T T"
Sr 0.0000 0.0000 3.2255
Sr 0.0000 0.0000 9.8221
Ca 2.1928 0.0000 6.5238
La 2.1928 0.0000 0.0000
```

Computed properties:
Uncorrected energy = -2.467 eV/atom
Formation enthalpy at 0 K = 0.11 eV/atom
Crystal system = orthorhombic
Spin magnetization = 0.00 μB/f.u.
Relative energy among the computed polymorphs = 0.020 eV/atom
DOS(E_F) = 5.82 states/eV/f.u.

Which value of uncorrected energy does entry 2 give? -8.261 eV/atom